The following is a DFT calculation (PBE) of an optimized crystal structure of Sr2Si3SnAu4.

Cell lengths 4.462, 4.462, 10.923 Å; angles 90.00, 90.00, 90.00 degrees
Atoms (fractional coordinates):
Sr 0.500 0.000 0.239
Sr 0.000 0.500 0.761
Si 0.000 0.000 0.500
Si 0.500 0.000 0.878
Si 0.000 0.500 0.122
Sn 0.500 0.500 0.500
Au 0.500 0.500 0.000
Au 0.000 0.000 0.000
Au 0.500 0.000 0.652
Au 0.000 0.500 0.348

Output
The density of states at the Fermi level comes out at 4.299 states/eV per cell. The value obtained for the raw formation energy is -10.89 kcal/mol of atoms. The value obtained for the total DFT energy (no corrections) is -4.147 eV/atom. Its density is 8.90 g cm⁻³.

***

The following is a DFT calculation (PBE) of an optimized crystal structure of Sr2SiSnAu6.

Cell lengths 7.154, 7.216, 9.400 Å; angles 90.00, 90.00, 90.00 degrees
Atoms (fractional coordinates):
Sr 0.500 0.772 0.270
Sr 0.000 0.228 0.770
Sr 0.500 0.772 0.730
Sr 0.000 0.228 0.230
Si 0.500 0.417 0.500
Si 0.000 0.583 0.000
Sn 0.000 0.895 0.500
Sn 0.500 0.105 0.000
Au 0.500 0.287 0.254
Au 0.500 0.287 0.746
Au 0.000 0.713 0.246
Au 0.000 0.713 0.754
Au 0.299 0.116 0.500
Au 0.701 0.116 0.500
Au 0.192 0.539 0.500
Au 0.808 0.539 0.500
Au 0.692 0.461 0.000
Au 0.308 0.461 0.000
Au 0.201 0.884 0.000
Au 0.799 0.884 0.000

Output
The density of states at the Fermi level comes out at 8.632 states/eV per cell. The value obtained for the raw formation energy is -11.71 kcal/mol of atoms. The value obtained for the total DFT energy (no corrections) is -3.753 eV/atom. Its density is 10.29 g cm⁻³.

***

The following is a DFT calculation (PBE) of an optimized crystal structure of YSi2Sn2Au7.

Cell lengths 4.232, 4.232, 15.453 Å; angles 81.89, 81.89, 89.87 degrees
Atoms (fractional coordinates):
Y 0.000 0.000 0.000
Si 0.622 0.622 0.764
Si 0.378 0.378 0.236
Sn 0.788 0.788 0.419
Sn 0.212 0.212 0.581
Au 0.500 0.500 0.000
Au 0.300 0.300 0.396
Au 0.700 0.700 0.604
Au 0.924 0.424 0.147
Au 0.424 0.924 0.147
Au 0.576 0.076 0.853
Au 0.076 0.576 0.853

Output
The density of states at the Fermi level comes out at 4.667 states/eV per cell. The value obtained for the raw formation energy is -4.62 kcal/mol of atoms. The value obtained for the total DFT energy (no corrections) is -4.222 eV/atom. Its density is 10.78 g cm⁻³.

***

The following is a DFT calculation (PBE) of an optimized crystal structure of ZrSiSn2Au.

Cell lengths 5.575, 5.033, 5.575 Å; angles 90.00, 90.00, 90.00 degrees
Atoms (fractional coordinates):
Si 0.000 0.500 0.000
Au 0.500 0.500 0.500
Sn 0.000 0.000 0.500
Sn 0.500 0.000 0.000
Zr 0.000 0.000 0.000

Output
The density of states at the Fermi level comes out at 4.700 states/eV per cell. The value obtained for the raw formation energy is 16.08 kcal/mol of atoms. The value obtained for the total DFT energy (no corrections) is -4.353 eV/atom. Its density is 5.88 g cm⁻³.